This record from Alexandria describes an optimized crystal structure of BaNpCoO6. The functional is PBE with a Hubbard U.

The structure in CIF format:
```
data_BaNpCoO6
_cell_length_a 5.2376
_cell_length_b 5.2376
_cell_length_c 5.9349
_cell_angle_alpha 90.00
_cell_angle_beta 90.00
_cell_angle_gamma 120.00
_symmetry_space_group_name_H-M 'P 1'
_symmetry_Int_Tables_number 1
loop_
_symmetry_equiv_pos_as_xyz
'x,y,z'
loop_
_atom_site_label
_atom_site_type_symbol
_atom_site_fract_x
_atom_site_fract_y
_atom_site_fract_z
Ba1 Ba 0.0000 0.0000 0.0000
Np1 Np 0.6667 0.3333 0.5000
Co1 Co 0.3333 0.6667 0.5000
O1 O 0.0126 0.3820 0.6873
O2 O 0.0126 0.6306 0.3127
O3 O 0.3694 0.3820 0.3127
O4 O 0.3694 0.9874 0.6873
O5 O 0.6180 0.6306 0.6873
O6 O 0.6180 0.9874 0.3127
```

Computed properties:
SG: P312, No. 149
Total moment: 0.0 μB/f.u.
Raw total energy: -7.75 eV/atom